(1)
Here is a geometry-optimized Ag2TeS2Cl2 structure from Alexandria. Energies are from PBE.

The uncorrected formation energy comes out at -0.11 eV per atom. The calculation puts the spin magnetization at 0.00 μB/f.u.

The structure belongs to space group P-1 (No. 2); the cell edges are 4.6136, 6.4955 and 6.7212 Å and the angles 106.18°, 105.39° and 95.94°. The asymmetric unit holds Ag at (0.2225, 0.0387, 0.3580), Te at (0.5000, 0.5000, 0.0000), S at (0.3405, 0.0916, 0.7670) and Cl at (0.1809, 0.4243, 0.2421).


(2)
Here is a geometry-optimized TiAgSCl2 structure from Alexandria. Energies are from PBE.

The uncorrected formation energy comes out at 0.16 eV per atom. The calculation puts the spin magnetization at 1.98 μB/f.u. For the energy above the most stable polymorph in this dataset, the calculation gives 4.30 eV/f.u.

The structure belongs to space group P4/mmm (No. 123); the cell edges are 4.8847, 4.8847 and 5.0336 Å and the angles 90.00°, 90.00° and 90.00°. The asymmetric unit holds Ti at (0.0000, 0.0000, 0.0000), Ag at (0.5000, 0.5000, 0.5000), S at (0.5000, 0.5000, 0.0000) and Cl at (0.0000, 0.5000, 0.5000).


(3)
Here is a geometry-optimized TiAgSCl2 structure from Alexandria. Energies are from PBE.

The uncorrected formation energy comes out at -0.70 eV per atom. The calculation puts the spin magnetization at 0.00 μB/f.u. For the energy above the most stable polymorph in this dataset, the calculation gives 0.00 eV/f.u.

The structure belongs to space group P4/mmm (No. 123); the cell edges are 4.8107, 4.8107 and 4.7579 Å and the angles 90.00°, 90.00° and 90.00°. The asymmetric unit holds Ti at (0.0000, 0.0000, 0.0000), Ag at (0.5000, 0.5000, 0.5000), S at (0.0000, 0.0000, 0.5000) and Cl at (0.0000, 0.5000, 0.0000).


(4)
Here is a geometry-optimized TlAgS2Cl structure from Alexandria. Energies are from PBE.

The uncorrected formation energy comes out at 0.46 eV per atom. The calculation puts the spin magnetization at 0.60 μB/f.u. For the energy above the most stable polymorph in this dataset, the calculation gives 1.53 eV/f.u.

The structure belongs to space group P4/mmm (No. 123); the cell edges are 5.0942, 5.0942 and 5.4396 Å and the angles 90.00°, 90.00° and 90.00°. The asymmetric unit holds Tl at (0.0000, 0.0000, 0.0000), Ag at (0.5000, 0.5000, 0.5000), S at (0.0000, 0.5000, 0.0000) and Cl at (0.0000, 0.0000, 0.5000).


(5)
Here is a geometry-optimized TlAg2SCl structure from Alexandria. Energies are from PBE.

The uncorrected formation energy comes out at -0.30 eV per atom. The calculation puts the spin magnetization at 0.00 μB/f.u.

The structure belongs to space group P4/mmm (No. 123); the cell edges are 4.7227, 4.7227 and 6.6299 Å and the angles 90.00°, 90.00° and 90.00°. The asymmetric unit holds Tl at (0.0000, 0.0000, 0.0000), Ag at (0.0000, 0.5000, 0.5000), S at (0.0000, 0.0000, 0.5000) and Cl at (0.5000, 0.5000, 0.0000).


(6)
Here is a geometry-optimized TlAgS2Cl structure from Alexandria. Energies are from PBE.

The uncorrected formation energy comes out at 0.15 eV per atom. The calculation puts the spin magnetization at 0.92 μB/f.u. For the energy above the most stable polymorph in this dataset, the calculation gives 0.00 eV/f.u.

The structure belongs to space group P4/mmm (No. 123); the cell edges are 4.8826, 4.8826 and 5.3532 Å and the angles 90.00°, 90.00° and 90.00°. The asymmetric unit holds Tl at (0.0000, 0.0000, 0.0000), Ag at (0.5000, 0.5000, 0.5000), S at (0.0000, 0.5000, 0.5000) and Cl at (0.5000, 0.5000, 0.0000).


(7)
Here is a geometry-optimized VAgSCl2 structure from Alexandria. Energies are from PBE.

The uncorrected formation energy comes out at -0.44 eV per atom. The calculation puts the spin magnetization at 1.99 μB/f.u. For the energy above the most stable polymorph in this dataset, the calculation gives 0.00 eV/f.u.

The structure belongs to space group P4/mmm (No. 123); the cell edges are 4.9003, 4.9003 and 4.5587 Å and the angles 90.00°, 90.00° and 90.00°. The asymmetric unit holds V at (0.0000, 0.0000, 0.0000), Ag at (0.5000, 0.5000, 0.5000), S at (0.0000, 0.0000, 0.5000) and Cl at (0.0000, 0.5000, 0.0000).


(8)
Here is a geometry-optimized VAgSCl2 structure from Alexandria. Energies are from PBE.

The uncorrected formation energy comes out at 0.37 eV per atom. The calculation puts the spin magnetization at 3.09 μB/f.u. For the energy above the most stable polymorph in this dataset, the calculation gives 4.01 eV/f.u.

The structure belongs to space group P4/mmm (No. 123); the cell edges are 4.8465, 4.8465 and 5.1052 Å and the angles 90.00°, 90.00° and 90.00°. The asymmetric unit holds V at (0.0000, 0.0000, 0.0000), Ag at (0.5000, 0.5000, 0.5000), S at (0.5000, 0.5000, 0.0000) and Cl at (0.0000, 0.5000, 0.5000).